Below is a relaxed structure of Pm2Y9Th, with properties calculated at the PBE level.

## Properties
Its energy of formation from the pure elements is 0.3 eV per formula unit. The crystal system is tetragonal. The calculation puts the total energy at -6.230 eV per atom.

Cell lengths 5.0710, 5.0710, 15.2324 Å; angles 90.00, 90.00, 90.00 degrees
Last column: nearest neighbours and their distance in Å.
Space group P4/mmm (No. 123)
Asymmetric unit:
Pm: 0.0000 0.0000 0.1675  12 Y 3.59-3.61
Y: 0.0000 0.5000 0.0000  8 Y 3.59, 4 Pm 3.60
Y: 0.0000 0.5000 0.3365  2 Th 3.55, 8 Y 3.55-3.62, 2 Pm 3.61
Y: 0.5000 0.5000 0.1666  4 Pm 3.59, 8 Y 3.59-3.62
Y: 0.5000 0.5000 0.5000  8 Y 3.55, 4 Th 3.59
Th: 0.0000 0.0000 0.5000  12 Y 3.55-3.59



Below is a relaxed structure of NaLi2NdPb2, with properties calculated at the PBE level.

## Properties
Its energy of formation from the pure elements is -2.1 eV per formula unit. The crystal system is trigonal. The calculation puts the total energy at -3.239 eV per atom.

Cell lengths 4.9919, 4.9919, 7.2013 Å; angles 90.00, 90.00, 120.00 degrees
Last column: nearest neighbours and their distance in Å.
Space group P-3m1 (No. 164)
Asymmetric unit:
Na: 0.0000 0.0000 0.0000  6 Li 3.31, 6 Pb 3.51, 2 Nd 3.60
Li: 0.3333 0.6667 0.7729  3 Pb 2.90
Nd: 0.0000 0.0000 0.5000  6 Pb 3.30, 6 Li 3.49, 2 Na 3.60
Pb: 0.3333 0.6667 0.2774  3 Li 2.90



Below is a relaxed structure of Tb9TmIn2, with properties calculated at the PBE level.

## Properties
Its energy of formation from the pure elements is -2.0 eV per formula unit. The crystal system is tetragonal. The calculation puts the total energy at -4.471 eV per atom.

Cell lengths 4.8840, 4.8840, 14.9218 Å; angles 90.00, 90.00, 90.00 degrees
Last column: nearest neighbours and their distance in Å.
Space group P4/mmm (No. 123)
Asymmetric unit:
Tb: 0.0000 0.0000 0.0000  4 Tm 3.45, 8 Tb 3.54
Tb: 0.0000 0.0000 0.3362  4 In 3.45, 8 Tb 3.46
Tb: 0.0000 0.5000 0.1715  8 Tb 3.45-3.54, 2 In 3.50, 2 Tm 3.54
Tb: 0.0000 0.5000 0.5000  4 In 3.42, 8 Tb 3.45-3.46
Tm: 0.5000 0.5000 0.0000  12 Tb 3.45-3.54
In: 0.5000 0.5000 0.3392  12 Tb 3.42-3.50



Below is a relaxed structure of LiNd3Al2O8, with properties calculated at the PBE level.

## Properties
The crystal system is trigonal. The calculation puts the total energy at -7.463 eV per atom.

Cell lengths 5.4431, 5.4431, 6.8272 Å; angles 90.00, 90.00, 120.00 degrees
Last column: nearest neighbours and their distance in Å.
Space group P-3m1 (No. 164)
Asymmetric unit:
Li: 0.0000 0.0000 0.0000  6 O 2.04
Nd: 0.0000 0.0000 0.5000  6 O 2.62
Nd: 0.3333 0.6667 0.1286  1 O 2.17
Al: 0.3333 0.6667 0.6967  4 O 1.71-1.75
O: 0.1663 0.3327 0.8083  1 Al 1.75
O: 0.3333 0.6667 0.4465  1 Al 1.71



Below is a relaxed structure of YTaAuS2, with properties calculated at the PBE level.

## Properties
The crystal system is tetragonal. The calculation puts the total energy at -4.983 eV per atom.

Cell lengths 4.8222, 4.8222, 5.3315 Å; angles 90.00, 90.00, 90.00 degrees
Last column: nearest neighbours and their distance in Å.
Space group P4/mmm (No. 123)
Asymmetric unit:
Y: 0.0000 0.0000 0.0000  2 Au 2.67
Ta: 0.5000 0.5000 0.0000  4 Y 3.41, 8 S 3.59
Au: 0.0000 0.0000 0.5000  4 S 2.41, 2 Y 2.67
S: 0.0000 0.5000 0.5000  2 Au 2.41



Below is a relaxed structure of BaTlHg2H, with properties calculated at the PBE level.

## Properties
The crystal system is tetragonal. The calculation puts the total energy at -1.818 eV per atom.

Cell lengths 5.3219, 5.3219, 4.8526 Å; angles 90.00, 90.00, 90.00 degrees
Last column: nearest neighbours and their distance in Å.
Space group P4/mmm (No. 123)
Asymmetric unit:
Ba: 0.0000 0.0000 0.0000  2 H 2.43
Tl: 0.5000 0.5000 0.0000  8 Hg 3.60, 4 Ba 3.76
Hg: 0.0000 0.5000 0.5000  2 H 2.66
H: 0.0000 0.0000 0.5000  2 Ba 2.43, 4 Hg 2.66



Respective total magnetic moment values: 0.000; 0.000; 0.000; 0.000; 0.306; 0.000 μB/atom.